[1]
# PBE Be3AgHg, relaxed
data_Be3AgHg
_chemical_formula_sum 'Be3 Ag1 Hg1'
_space_group_name_H-M_alt 'P 1'
_space_group_IT_number 1
_cell_length_a 4.391
_cell_length_b 4.391
_cell_length_c 4.391
_cell_angle_alpha 90.00
_cell_angle_beta 90.00
_cell_angle_gamma 90.00
loop_
_space_group_symop_operation_xyz
'x,y,z'
loop_
_atom_site_label
_atom_site_fract_x
_atom_site_fract_y
_atom_site_fract_z
Be1 0.000 0.000 0.500
Be2 0.000 0.500 0.000
Be3 0.500 0.000 0.000
Ag1 0.000 0.000 0.000
Hg1 0.500 0.500 0.500
# - total energy (eV/atom) = -2.033
# - magnetization (μB/f.u.) = 0.000
# - space group = Pm-3m, No. 221

***

[2]
# PBE Na4NpSc3Te8, relaxed
data_Na4NpSc3Te8
_chemical_formula_sum 'Na4 Np1 Sc3 Te8'
_space_group_name_H-M_alt 'P 1'
_space_group_IT_number 1
_cell_length_a 9.027
_cell_length_b 9.027
_cell_length_c 9.027
_cell_angle_alpha 56.94
_cell_angle_beta 56.94
_cell_angle_gamma 56.94
loop_
_space_group_symop_operation_xyz
'x,y,z'
loop_
_atom_site_label
_atom_site_fract_x
_atom_site_fract_y
_atom_site_fract_z
Na1 0.000 0.000 0.000
Na2 0.000 0.500 0.500
Na3 0.500 0.000 0.500
Na4 0.500 0.500 0.000
Np1 0.500 0.500 0.500
Sc1 0.000 0.000 0.500
Sc2 0.000 0.500 0.000
Sc3 0.500 0.000 0.000
Te1 0.229 0.748 0.748
Te2 0.240 0.240 0.240
Te3 0.252 0.252 0.771
Te4 0.252 0.771 0.252
Te5 0.748 0.229 0.748
Te6 0.748 0.748 0.229
Te7 0.760 0.760 0.760
Te8 0.771 0.252 0.252
# - energy relative to the elements, uncorrected (eV per formula unit) = -17.3
# - magnetization (μB/f.u.) = 4.024
# - space group = R-3m, No. 166

***

[3]
# PBE PaPtO, relaxed
data_PaPtO
_chemical_formula_sum 'Pa1 Pt1 O1'
_space_group_name_H-M_alt 'P 1'
_space_group_IT_number 1
_cell_length_a 5.420
_cell_length_b 5.420
_cell_length_c 5.420
_cell_angle_alpha 144.68
_cell_angle_beta 144.68
_cell_angle_gamma 50.82
loop_
_space_group_symop_operation_xyz
'x,y,z'
loop_
_atom_site_label
_atom_site_fract_x
_atom_site_fract_y
_atom_site_fract_z
Pa1 0.000 0.000 0.000
Pt1 0.287 0.287 0.000
O1 0.537 0.537 0.000
# - energy relative to the elements, uncorrected (eV per formula unit) = -4.9
# - magnetization (μB/f.u.) = 0.001
# - space group = I4mm, No. 107

***

[4]
# PBE Mn2FeRh, relaxed
data_Mn2FeRh
_chemical_formula_sum 'Mn2 Fe1 Rh1'
_space_group_name_H-M_alt 'P 1'
_space_group_IT_number 1
_cell_length_a 4.483
_cell_length_b 4.483
_cell_length_c 4.518
_cell_angle_alpha 100.82
_cell_angle_beta 100.82
_cell_angle_gamma 34.40
loop_
_space_group_symop_operation_xyz
'x,y,z'
loop_
_atom_site_label
_atom_site_fract_x
_atom_site_fract_y
_atom_site_fract_z
Mn1 0.000 0.000 0.000
Mn2 0.747 0.747 0.228
Fe1 0.252 0.252 0.739
Rh1 0.499 0.499 0.501
# - total energy (eV/atom) = -8.515
# - magnetization (μB/f.u.) = 1.706
# - space group = Cm, No. 8